# BeRu2Pb

An optimized crystal structure of BeRu2Pb (PBE-GGA, the Alexandria database).

DOS(E_F)	3.96	states/eV/cell
ΔH_f (0 K)	0.291	eV/atom
M_tot	0.000	μB per cell
offset from the most stable computed form	0	meV per atom

Lattice parameters (Å, degrees): 3.1111 3.1111 6.3944 90.00 90.00 90.00
Closest atoms and distances in Å follow each position.
Element x y z (fractional)
Be1 0.0000 0.0000 0.0000  5 Ru 2.30-2.42
Ru1 0.0000 0.0000 0.6213  1 Be 2.42
Ru2 0.5000 0.5000 0.8967  4 Be 2.30
Pb1 0.5000 0.5000 0.3392  5 Ru 2.83-2.84, 4 Be 3.09, 4 Pb 3.11



# CeGe3Se6

An optimized crystal structure of CeGe3Se6 (PBE-GGA, the Alexandria database).

DOS(E_F)	4.65	states/eV/cell
ΔE_f (raw)	-0.622	eV per atom
M_tot	0.322	μB per cell

Lattice parameters (Å, degrees): 12.2686 3.9245 12.3852 90.00 111.24 90.00
Closest atoms and distances in Å follow each position.
Element x y z (fractional)
Ce1 0.0153 0.2500 0.1752  7 Se 2.91-3.03
Ce2 0.9847 0.7500 0.8248  7 Se 2.91-3.03
Ge1 0.2111 0.2500 0.7134  4 Se 2.37-2.48
Ge2 0.3117 0.7500 0.1321  3 Se 2.49-2.64
Ge3 0.4371 0.7500 0.5743  3 Se 2.48-2.64
Ge4 0.5629 0.2500 0.4257  3 Se 2.48-2.64
Ge5 0.6883 0.2500 0.8679  3 Se 2.49-2.64
Ge6 0.7889 0.7500 0.2866  4 Se 2.37-2.48
Se1 0.0043 0.2500 0.6466  1 Ge 2.37
Se2 0.1216 0.2500 0.9930  3 Ce 2.91-2.99, 2 Ge 3.06
Se3 0.2052 0.7500 0.2697  1 Ge 2.49
Se4 0.2612 0.7500 0.8443  2 Ge 2.48
Se5 0.2873 0.2500 0.5560  3 Ge 2.45-2.64
Se6 0.4634 0.2500 0.2117  3 Ge 2.48-2.64
Se7 0.5366 0.7500 0.7883  3 Ge 2.48-2.64
Se8 0.7127 0.7500 0.4440  3 Ge 2.45-2.64
Se9 0.7388 0.2500 0.1557  2 Ge 2.48
Se10 0.7948 0.2500 0.7303  1 Ge 2.49
Se11 0.8784 0.7500 0.0070  3 Ce 2.91-2.99, 2 Ge 3.06
Se12 0.9957 0.7500 0.3534  1 Ge 2.37



# KNiHg

An optimized crystal structure of KNiHg (PBE-GGA, the Alexandria database).

DOS(E_F)	6.42	states/eV/cell
ΔH_f (0 K)	0.880	eV/atom
M_tot	0.932	μB per cell
offset from the most stable computed form	663	meV per atom

Lattice parameters (Å, degrees): 5.4432 5.4432 5.4432 60.00 60.00 60.00
Closest atoms and distances in Å follow each position.
Element x y z (fractional)
K1 0.0000 0.0000 0.0000  4 Hg 3.33, 4 Ni 3.33
Ni1 0.2500 0.2500 0.2500  4 K 3.33
Hg1 0.7500 0.7500 0.7500  4 K 3.33



# Ac2Mg2Zn2N

An optimized crystal structure of Ac2Mg2Zn2N (PBE-GGA, the Alexandria database).

DOS(E_F)	5.16	states/eV/cell
ΔE_f (raw)	-0.424	eV per atom
M_tot	0.000	μB per cell

Lattice parameters (Å, degrees): 6.5157 6.5157 8.1451 124.13 124.13 36.00
Closest atoms and distances in Å follow each position.
Element x y z (fractional)
Ac1 0.0620 0.0620 0.2733  2 N 2.75
Ac2 0.9380 0.9380 0.7267  2 N 2.75
Mg1 0.2995 0.2995 0.9090  1 N 2.13
Mg2 0.7005 0.7005 0.0910  1 N 2.13
Zn1 0.3687 0.3687 0.3435  1 Zn 2.70, 2 Mg 2.75
Zn2 0.6313 0.6313 0.6565  1 Zn 2.70, 2 Mg 2.75
N1 0.5000 0.5000 0.0000  2 Mg 2.13



# LiReSe2

An optimized crystal structure of LiReSe2 (PBE-GGA, the Alexandria database).

DOS(E_F)	3.85	states/eV/cell
ΔE_f (raw)	-0.099	eV per atom
M_tot	0.000	μB per cell
offset from the most stable computed form	143	meV per atom

Lattice parameters (Å, degrees): 8.4963 8.4963 8.4963 22.79 22.79 22.79
Closest atoms and distances in Å follow each position.
Element x y z (fractional)
Li1 0.0000 0.0000 0.0000  2 Se 2.47
Re1 0.5000 0.5000 0.5000  6 Se 2.56
Se1 0.0993 0.0993 0.0993  1 Li 2.47, 3 Re 2.56
Se2 0.9006 0.9006 0.9006  1 Li 2.47, 3 Re 2.56



What did the second record say?
# CeGe3Se6

An optimized crystal structure of CeGe3Se6 (PBE-GGA, the Alexandria database).

DOS(E_F)	4.65	states/eV/cell
ΔE_f (raw)	-0.622	eV per atom
M_tot	0.322	μB per cell

Lattice parameters (Å, degrees): 12.2686 3.9245 12.3852 90.00 111.24 90.00
Closest atoms and distances in Å follow each position.
Element x y z (fractional)
Ce1 0.0153 0.2500 0.1752  7 Se 2.91-3.03
Ce2 0.9847 0.7500 0.8248  7 Se 2.91-3.03
Ge1 0.2111 0.2500 0.7134  4 Se 2.37-2.48
Ge2 0.3117 0.7500 0.1321  3 Se 2.49-2.64
Ge3 0.4371 0.7500 0.5743  3 Se 2.48-2.64
Ge4 0.5629 0.2500 0.4257  3 Se 2.48-2.64
Ge5 0.6883 0.2500 0.8679  3 Se 2.49-2.64
Ge6 0.7889 0.7500 0.2866  4 Se 2.37-2.48
Se1 0.0043 0.2500 0.6466  1 Ge 2.37
Se2 0.1216 0.2500 0.9930  3 Ce 2.91-2.99, 2 Ge 3.06
Se3 0.2052 0.7500 0.2697  1 Ge 2.49
Se4 0.2612 0.7500 0.8443  2 Ge 2.48
Se5 0.2873 0.2500 0.5560  3 Ge 2.45-2.64
Se6 0.4634 0.2500 0.2117  3 Ge 2.48-2.64
Se7 0.5366 0.7500 0.7883  3 Ge 2.48-2.64
Se8 0.7127 0.7500 0.4440  3 Ge 2.45-2.64
Se9 0.7388 0.2500 0.1557  2 Ge 2.48
Se10 0.7948 0.2500 0.7303  1 Ge 2.49
Se11 0.8784 0.7500 0.0070  3 Ce 2.91-2.99, 2 Ge 3.06
Se12 0.9957 0.7500 0.3534  1 Ge 2.37



- What is the M_tot in the fifth record?
  0.000 μB per cell



- Which formula does entry 5 have?
  LiReSe2